# Y2LuI (PBE, relaxed)
# * energy relative to the elements, uncorrected: -0.340 eV/atom
# * total magnetic moment: 0.001 μB per atom
# * volume: 31.4 Å³/atom
# * total energy: -61.08 eV/cell
# * polymorph energy (0 for the lowest one): 0.0 kJ/mol of atoms
data_Y2LuI
_space_group_name_H-M_alt 'R -3 m'
_space_group_IT_number 166
_space_group_name_Hall '-R 3 2"'
_cell_length_a 3.7353
_cell_length_b 3.7353
_cell_length_c 31.1668
_cell_angle_alpha 90.00
_cell_angle_beta 90.00
_cell_angle_gamma 120.00
loop_
_atom_site_label
_atom_site_fract_x
_atom_site_fract_y
_atom_site_fract_z
Y1 0.0000 0.0000 0.2462
Lu1 0.0000 0.0000 0.0000
I1 0.0000 0.0000 0.5000